(1)
Crystalline YZnSe2N at its relaxed geometry, computed with GGA-PBE.

Structure (extended XYZ):
```
5
Lattice="5.536 0.000 0.000 0.000 5.536 0.000 0.000 0.000 4.477" Properties=species:S:1:pos:R:3 pbc="T T T"
Y 0.000 0.000 0.000
Zn 2.768 2.768 2.239
Se 0.000 2.768 0.000
Se 2.768 0.000 0.000
N 0.000 0.000 2.239
```

Summary:
total magnetic moment = 2.076 μB per formula unit
uncorrected formation energy = 0.22 eV per atom
DOS(E_F) = 2.7 states/eV/f.u.
V = 137.19 Å³/cell

=====

(2)
Crystalline YZnSeN2 at its relaxed geometry, computed with GGA-PBE.

Structure (extended XYZ):
```
5
Lattice="4.045 0.000 0.000 0.000 4.045 0.000 0.000 0.000 4.945" Properties=species:S:1:pos:R:3 pbc="T T T"
Y 0.000 0.000 0.000
Zn 2.022 2.022 2.473
Se 2.022 2.022 0.000
N 0.000 2.022 2.473
N 2.022 0.000 2.473
```

Summary:
total magnetic moment = 2.069 μB per formula unit
uncorrected formation energy = 0.45 eV per atom
DOS(E_F) = 3.2 states/eV/f.u.
V = 80.89 Å³/cell

=====

(3)
Crystalline YZnSe2N at its relaxed geometry, computed with GGA-PBE.

Structure (extended XYZ):
```
5
Lattice="5.105 0.000 0.000 0.000 5.105 0.000 0.000 0.000 3.841" Properties=species:S:1:pos:R:3 pbc="T T T"
Y 0.000 0.000 0.000
Zn 2.553 2.553 1.920
Se 0.000 2.553 1.920
Se 2.553 0.000 1.920
N 2.553 2.553 0.000
```

Summary:
total magnetic moment = 1.824 μB per formula unit
uncorrected formation energy = -0.13 eV per atom
DOS(E_F) = 1.8 states/eV/f.u.
V = 100.10 Å³/cell

=====

(4)
Crystalline YZnSeN2 at its relaxed geometry, computed with GGA-PBE.

Structure (extended XYZ):
```
5
Lattice="4.221 0.000 0.000 0.000 4.221 0.000 0.000 0.000 6.057" Properties=species:S:1:pos:R:3 pbc="T T T"
Y 0.000 0.000 0.000
Zn 2.111 2.111 3.028
Se 0.000 0.000 3.028
N 0.000 2.111 0.000
N 2.111 0.000 0.000
```

Summary:
total magnetic moment = 0.040 μB per formula unit
uncorrected formation energy = 0.80 eV per atom
DOS(E_F) = 5.7 states/eV/f.u.
V = 107.93 Å³/cell

=====

(5)
Crystalline YZrSeN2 at its relaxed geometry, computed with GGA-PBE.

Structure (extended XYZ):
```
5
Lattice="4.204 0.000 0.000 0.000 4.204 0.000 0.000 0.000 5.295" Properties=species:S:1:pos:R:3 pbc="T T T"
Y 0.000 0.000 0.000
Zr 2.102 2.102 2.647
Se 2.102 2.102 0.000
N 0.000 2.102 2.647
N 2.102 0.000 2.647
```

Summary:
total magnetic moment = 0.000 μB per formula unit
uncorrected formation energy = -0.61 eV per atom
DOS(E_F) = 2.3 states/eV/f.u.
V = 93.56 Å³/cell

=====

(6)
Crystalline YZrSeN2 at its relaxed geometry, computed with GGA-PBE.

Structure (extended XYZ):
```
5
Lattice="4.260 0.000 0.000 0.000 4.260 0.000 0.000 0.000 5.406" Properties=species:S:1:pos:R:3 pbc="T T T"
Y 0.000 0.000 0.000
Zr 2.130 2.130 2.703
Se 0.000 0.000 2.703
N 0.000 2.130 0.000
N 2.130 0.000 0.000
```

Summary:
total magnetic moment = 0.598 μB per formula unit
uncorrected formation energy = 0.37 eV per atom
DOS(E_F) = 3.3 states/eV/f.u.
V = 98.11 Å³/cell

=====

(7)
Crystalline ZnSe3N at its relaxed geometry, computed with GGA-PBE.

Structure (extended XYZ):
```
5
Lattice="4.958 0.000 0.000 0.000 4.958 0.000 0.000 0.000 4.958" Properties=species:S:1:pos:R:3 pbc="T T T"
Zn 0.000 0.000 0.000
Se 0.000 0.000 2.479
Se 0.000 2.479 0.000
Se 2.479 0.000 0.000
N 2.479 2.479 2.479
```

Summary:
total magnetic moment = 1.903 μB per formula unit
uncorrected formation energy = 1.45 eV per atom
DOS(E_F) = 4.6 states/eV/f.u.
V = 121.88 Å³/cell

=====

(8)
Crystalline Zn2SeN at its relaxed geometry, computed with GGA-PBE.

Structure (extended XYZ):
```
4
Lattice="0.000 3.080 3.080 3.080 0.000 3.080 3.080 3.080 0.000" Properties=species:S:1:pos:R:3 pbc="T T T"
Zn 1.540 1.540 1.540
Zn 4.620 4.620 4.620
Se 0.000 0.000 0.000
N 3.080 3.080 3.080
```

Summary:
total magnetic moment = 1.207 μB per formula unit
uncorrected formation energy = 0.92 eV per atom
DOS(E_F) = 1.8 states/eV/f.u.
V = 58.44 Å³/cell

=====

(9)
Crystalline ZnSeN at its relaxed geometry, computed with GGA-PBE.

Structure (extended XYZ):
```
6
Lattice="3.907 -2.726 0.000 3.907 2.726 0.000 -0.874 0.000 5.159" Properties=species:S:1:pos:R:3 pbc="T T T"
Zn 0.000 0.000 0.000
Zn 1.409 0.000 2.892
Se 3.162 0.000 0.972
Se 5.937 0.000 2.948
N 1.075 0.000 4.836
N 7.477 0.000 1.891
```

Summary:
total magnetic moment = 0.000 μB per formula unit
uncorrected formation energy = 0.38 eV per atom
DOS(E_F) = 0.9 states/eV/f.u.
V = 109.90 Å³/cell

=====

(10)
Crystalline ZnSeN2 at its relaxed geometry, computed with GGA-PBE.

Structure (extended XYZ):
```
8
Lattice="-2.311 2.311 5.111 2.311 -2.311 5.111 2.311 2.311 -5.111" Properties=species:S:1:pos:R:3 pbc="T T T"
Zn 0.000 0.000 0.000
Zn 0.000 2.311 2.556
Se 2.311 0.000 2.556
Se 0.000 0.000 5.111
N 1.155 -1.129 3.834
N 1.181 1.155 1.278
N 1.155 3.440 -1.278
N 1.129 1.155 6.389
```

Summary:
total magnetic moment = 0.000 μB per formula unit
uncorrected formation energy = 0.87 eV per atom
DOS(E_F) = 0.6 states/eV/f.u.
V = 109.16 Å³/cell

=====

(11)
Crystalline ZnSeN at its relaxed geometry, computed with GGA-PBE.

Structure (extended XYZ):
```
6
Lattice="3.180 0.000 0.000 -1.562 4.733 0.000 -0.842 -1.136 7.157" Properties=species:S:1:pos:R:3 pbc="T T T"
Zn -0.409 1.157 2.552
Zn 1.184 2.440 4.604
Se -0.408 -0.175 5.847
Se 1.184 3.772 1.310
N -0.404 1.172 4.637
N 1.180 2.425 2.520
```

Summary:
total magnetic moment = 0.000 μB per formula unit
uncorrected formation energy = 0.24 eV per atom
DOS(E_F) = 1.3 states/eV/f.u.
V = 107.70 Å³/cell

=====

(12)
Crystalline ZnSeN2 at its relaxed geometry, computed with GGA-PBE.

Structure (extended XYZ):
```
4
Lattice="0.000 2.800 2.800 2.800 0.000 2.800 2.800 2.800 0.000" Properties=species:S:1:pos:R:3 pbc="T T T"
Zn 0.000 0.000 0.000
Se 2.800 2.800 2.800
N 1.400 1.400 1.400
N 4.200 4.200 4.200
```

Summary:
total magnetic moment = 0.000 μB per formula unit
uncorrected formation energy = 1.67 eV per atom
DOS(E_F) = 1.6 states/eV/f.u.
V = 43.91 Å³/cell

=====

(13)
Crystalline ZnSeN2 at its relaxed geometry, computed with GGA-PBE.

Structure (extended XYZ):
```
4
Lattice="1.636 0.945 5.699 -1.636 0.945 5.699 0.000 -1.889 5.699" Properties=species:S:1:pos:R:3 pbc="T T T"
Zn 0.000 0.000 0.000
Se 0.000 0.000 8.548
N 0.000 0.000 6.725
N 0.000 0.000 10.371
```

Summary:
total magnetic moment = 0.000 μB per formula unit
uncorrected formation energy = 0.96 eV per atom
DOS(E_F) = 1.8 states/eV/f.u.
V = 52.85 Å³/cell

=====

(14)
Crystalline ZnSeN2 at its relaxed geometry, computed with GGA-PBE.

Structure (extended XYZ):
```
4
Lattice="1.637 0.945 5.842 -1.637 0.945 5.842 0.000 -1.890 5.842" Properties=species:S:1:pos:R:3 pbc="T T T"
Zn 0.000 0.000 0.000
Se 0.000 0.000 8.763
N 0.000 0.000 1.842
N 0.000 0.000 15.684
```

Summary:
total magnetic moment = 0.000 μB per formula unit
uncorrected formation energy = 0.98 eV per atom
DOS(E_F) = 1.6 states/eV/f.u.
V = 54.22 Å³/cell

=====

(15)
Crystalline ZnSe3N at its relaxed geometry, computed with GGA-PBE.

Structure (extended XYZ):
```
5
Lattice="4.428 0.000 0.000 0.000 4.428 0.000 0.000 0.000 4.428" Properties=species:S:1:pos:R:3 pbc="T T T"
Zn 0.000 0.000 0.000
Se 0.000 2.214 2.214
Se 2.214 0.000 2.214
Se 2.214 2.214 0.000
N 2.214 2.214 2.214
```

Summary:
total magnetic moment = 0.000 μB per formula unit
uncorrected formation energy = 0.86 eV per atom
DOS(E_F) = 4.9 states/eV/f.u.
V = 86.84 Å³/cell

=====

(16)
Crystalline Zn2SeN at its relaxed geometry, computed with GGA-PBE.

Structure (extended XYZ):
```
8
Lattice="-2.630 2.630 4.886 2.630 -2.630 4.886 2.630 2.630 -4.886" Properties=species:S:1:pos:R:3 pbc="T T T"
Zn 3.945 0.823 -1.222
Zn 0.823 1.315 1.222
Zn -1.315 1.807 3.665
Zn 1.807 1.315 6.108
Se 2.630 0.000 2.443
Se 0.000 0.000 4.886
N 0.000 0.000 0.000
N 0.000 2.630 2.443
```

Summary:
total magnetic moment = 0.000 μB per formula unit
uncorrected formation energy = -0.03 eV per atom
DOS(E_F) = 4.3 states/eV/f.u.
V = 135.18 Å³/cell

=====

(17)
Crystalline Zr2Se2N at its relaxed geometry, computed with GGA-PBE.

Structure (extended XYZ):
```
10
Lattice="-3.393 5.134 2.742 3.393 -5.134 2.742 3.393 5.134 -2.742" Properties=species:S:1:pos:R:3 pbc="T T T"
Zr 1.361 0.957 0.000
Zr 1.361 -0.957 2.742
Zr 2.032 6.092 0.000
Zr 2.032 4.177 2.742
Se 4.207 1.512 0.000
Se 0.815 3.623 0.000
Se 2.578 1.512 2.742
Se -0.815 3.623 2.742
N 0.000 0.000 1.371
N 0.000 0.000 4.113
```

Summary:
total magnetic moment = 0.000 μB per formula unit
uncorrected formation energy = -1.34 eV per atom
DOS(E_F) = 2.0 states/eV/f.u.
V = 191.03 Å³/cell

=====

(18)
Crystalline ZrSeN3 at its relaxed geometry, computed with GGA-PBE.

Structure (extended XYZ):
```
5
Lattice="4.257 0.000 0.000 0.000 4.257 0.000 0.000 0.000 4.257" Properties=species:S:1:pos:R:3 pbc="T T T"
Zr 0.000 0.000 0.000
Se 2.129 2.129 2.129
N 0.000 0.000 2.129
N 0.000 2.129 0.000
N 2.129 0.000 0.000
```

Summary:
total magnetic moment = 2.669 μB per formula unit
uncorrected formation energy = 1.22 eV per atom
DOS(E_F) = 3.0 states/eV/f.u.
V = 77.16 Å³/cell

=====

(19)
Crystalline ZrSeN2 at its relaxed geometry, computed with GGA-PBE.

Structure (extended XYZ):
```
8
Lattice="-2.354 2.354 5.738 2.354 -2.354 5.738 2.354 2.354 -5.738" Properties=species:S:1:pos:R:3 pbc="T T T"
Zr 0.000 0.000 0.000
Zr 0.000 2.354 2.869
Se 2.354 0.000 2.869
Se 0.000 0.000 5.738
N 3.531 1.063 -1.435
N 1.063 1.177 1.435
N -1.177 1.291 4.304
N 1.291 1.177 7.173
```

Summary:
total magnetic moment = 0.000 μB per formula unit
uncorrected formation energy = 0.21 eV per atom
DOS(E_F) = 2.5 states/eV/f.u.
V = 127.15 Å³/cell

=====

(20)
Crystalline Zr2SeN at its relaxed geometry, computed with GGA-PBE.

Structure (extended XYZ):
```
8
Lattice="-2.780 2.780 5.343 2.780 -2.780 5.343 2.780 2.780 -5.343" Properties=species:S:1:pos:R:3 pbc="T T T"
Zr 4.169 0.945 -1.336
Zr 0.945 1.390 1.336
Zr -1.390 1.834 4.007
Zr 1.834 1.390 6.678
Se 2.780 0.000 2.671
Se 0.000 0.000 5.343
N 0.000 0.000 0.000
N 0.000 2.780 2.671
```

Summary:
total magnetic moment = 0.000 μB per formula unit
uncorrected formation energy = -1.04 eV per atom
DOS(E_F) = 1.8 states/eV/f.u.
V = 165.10 Å³/cell

=====

(21)
Crystalline ZrSe2N2 at its relaxed geometry, computed with GGA-PBE.

Structure (extended XYZ):
```
5
Lattice="5.299 0.000 0.000 0.000 5.299 0.000 0.000 0.000 4.260" Properties=species:S:1:pos:R:3 pbc="T T T"
Zr 0.000 0.000 0.000
Se 0.000 2.650 0.000
Se 2.650 0.000 0.000
N 0.000 0.000 2.130
N 2.650 2.650 2.130
```

Summary:
total magnetic moment = 4.078 μB per formula unit
uncorrected formation energy = 1.10 eV per atom
DOS(E_F) = 4.3 states/eV/f.u.
V = 119.64 Å³/cell

=====

(22)
Crystalline Zr2SeN at its relaxed geometry, computed with GGA-PBE.

Structure (extended XYZ):
```
4
Lattice="1.716 0.991 6.352 -1.716 0.991 6.352 0.000 -1.981 6.352" Properties=species:S:1:pos:R:3 pbc="T T T"
Zr 0.000 0.000 0.000
Zr 0.000 0.000 3.955
Se 0.000 0.000 8.320
N 0.000 0.000 11.527
```

Summary:
total magnetic moment = 0.000 μB per formula unit
uncorrected formation energy = -1.41 eV per atom
DOS(E_F) = 1.9 states/eV/f.u.
V = 64.79 Å³/cell

=====

(23)
Crystalline ZrSe2N2 at its relaxed geometry, computed with GGA-PBE.

Structure (extended XYZ):
```
5
Lattice="4.099 0.000 0.000 0.000 4.099 0.000 0.000 0.000 5.911" Properties=species:S:1:pos:R:3 pbc="T T T"
Zr 0.000 0.000 0.000
Se 0.000 0.000 2.956
Se 2.049 2.049 2.956
N 0.000 2.049 0.000
N 2.049 0.000 0.000
```

Summary:
total magnetic moment = 0.166 μB per formula unit
uncorrected formation energy = 0.56 eV per atom
DOS(E_F) = 4.9 states/eV/f.u.
V = 99.30 Å³/cell

=====

(24)
Crystalline Zr2SeN2 at its relaxed geometry, computed with GGA-PBE.

Structure (extended XYZ):
```
5
Lattice="-1.823 2.089 6.043 1.823 -2.089 6.043 1.823 2.089 -6.043" Properties=species:S:1:pos:R:3 pbc="T T T"
Zr 0.000 0.000 2.140
Zr 0.000 0.000 9.946
Se 1.823 0.000 0.000
N 1.823 0.000 3.306
N 0.000 2.089 2.737
```

Summary:
total magnetic moment = 0.000 μB per formula unit
uncorrected formation energy = -1.52 eV per atom
DOS(E_F) = 0.0 states/eV/f.u.
V = 92.02 Å³/cell

=====

(25)
Crystalline ZrSe2N2 at its relaxed geometry, computed with GGA-PBE.

Structure (extended XYZ):
```
5
Lattice="4.114 0.000 0.000 0.000 4.114 0.000 0.000 0.000 4.243" Properties=species:S:1:pos:R:3 pbc="T T T"
Zr 0.000 0.000 0.000
Se 0.000 2.057 2.122
Se 2.057 0.000 2.122
N 2.057 2.057 0.000
N 2.057 2.057 2.122
```

Summary:
total magnetic moment = 0.000 μB per formula unit
uncorrected formation energy = 0.91 eV per atom
DOS(E_F) = 2.0 states/eV/f.u.
V = 71.81 Å³/cell

=====

(26)
Crystalline Zr2SeN at its relaxed geometry, computed with GGA-PBE.

Structure (extended XYZ):
```
4
Lattice="1.747 1.008 6.218 -1.747 1.008 6.218 0.000 -2.017 6.218" Properties=species:S:1:pos:R:3 pbc="T T T"
Zr 0.000 0.000 4.234
Zr 0.000 0.000 14.421
Se 0.000 0.000 0.000
N 0.000 0.000 9.327
```

Summary:
total magnetic moment = 0.000 μB per formula unit
uncorrected formation energy = -1.39 eV per atom
DOS(E_F) = 1.9 states/eV/f.u.
V = 65.71 Å³/cell

=====

(27)
Crystalline Zr2SeN2 at its relaxed geometry, computed with GGA-PBE.

Structure (extended XYZ):
```
10
Lattice="3.682 0.000 0.000 -1.841 3.189 0.000 0.000 0.000 13.337" Properties=species:S:1:pos:R:3 pbc="T T T"
Zr 0.000 2.126 1.312
Zr 0.000 2.126 5.357
Zr 1.841 1.063 7.980
Zr 1.841 1.063 12.025
Se 0.000 0.000 3.334
Se 0.000 0.000 10.002
N 0.000 2.126 7.555
N 0.000 2.126 12.450
N 1.841 1.063 0.886
N 1.841 1.063 5.782
```

Summary:
total magnetic moment = 0.000 μB per formula unit
uncorrected formation energy = -1.58 eV per atom
DOS(E_F) = 0.0 states/eV/f.u.
V = 156.59 Å³/cell